Entry 1:
VASP calculation (PBE) on an optimized crystal structure of Mn2NiB.

Unit cell a=3.479 b=3.479 c=3.292 alpha=90.00 beta=90.00 gamma=90.00
Space group P4/mmm (No. 123)
Asymmetric unit:
Mn 0.000 0.500 0.000 x2
Ni 0.000 0.000 0.500 x1
B 0.500 0.500 0.500 x1

DOS(E_F) (states/eV/atom): 0.94
Magnetization (μB/cell): 4.012
Calculated volume (Å³/atom): 9.96
Energy of formation (eV per formula unit): 0.61

Entry 2:
VASP calculation (PBE) on an optimized crystal structure of MnNi2B.

Unit cell a=3.296 b=3.296 c=15.724 alpha=90.00 beta=90.00 gamma=90.00
Space group I-42d (No. 122)
Asymmetric unit:
Mn 0.000 0.000 0.000 x4
Ni 0.227 0.250 0.625 x8
B 0.000 0.000 0.500 x4

DOS(E_F) (states/eV/atom): 1.11
Magnetization (μB/cell): 12.536
Calculated volume (Å³/atom): 10.68
Energy of formation (eV per formula unit): 1.50

Entry 3:
VASP calculation (PBE) on an optimized crystal structure of MnNi3B.

Unit cell a=7.157 b=3.193 c=9.158 alpha=90.00 beta=90.00 gamma=90.00
Space group Pnma (No. 62)
Asymmetric unit:
Mn 0.177 0.250 0.008 x4
Ni 0.056 0.250 0.415 x4
Ni 0.100 0.750 0.211 x4
Ni 0.156 0.750 0.784 x4
B 0.126 0.250 0.636 x4

DOS(E_F) (states/eV/atom): 0.55
Magnetization (μB/cell): 16.720
Calculated volume (Å³/atom): 10.46
E above lowest polymorph (meV per atom): 0
Energy of formation (eV per formula unit): -0.76

Entry 4:
VASP calculation (PBE) on an optimized crystal structure of Mn2Ni3B2.

Unit cell a=2.959 b=15.389 c=2.935 alpha=90.00 beta=90.00 gamma=90.00
Space group Cmmm (No. 65)
Asymmetric unit:
Mn 0.000 0.177 0.000 x4
Ni 0.000 0.000 0.000 x2
Ni 0.000 0.417 0.500 x4
B 0.000 0.282 0.500 x4

DOS(E_F) (states/eV/atom): 0.94
Magnetization (μB/cell): 10.281
Calculated volume (Å³/atom): 9.55
Energy of formation (eV per formula unit): -1.57

Entry 5:
VASP calculation (PBE) on an optimized crystal structure of MnNi5B.

Unit cell a=7.733 b=6.207 c=7.646 alpha=90.00 beta=117.62 gamma=90.00
Space group C2/c (No. 15)
Asymmetric unit:
Mn 0.000 0.055 0.250 x4
Ni 0.000 0.347 0.750 x4
Ni 0.129 0.379 0.493 x8
Ni 0.217 0.345 0.228 x8
B 0.250 0.250 0.000 x4

DOS(E_F) (states/eV/atom): 1.10
Magnetization (μB/cell): 21.134
Calculated volume (Å³/atom): 11.61
E above lowest polymorph (meV per atom): 301
Energy of formation (eV per formula unit): 1.16

Entry 6:
VASP calculation (PBE) on an optimized crystal structure of MnNiB.

Unit cell a=4.181 b=7.045 c=7.247 alpha=90.00 beta=90.00 gamma=90.00
Space group Fmmm (No. 69)
Asymmetric unit:
Mn 0.000 0.165 0.000 x8
Ni 0.000 0.000 0.332 x8
B 0.250 0.250 0.250 x8

DOS(E_F) (states/eV/atom): 1.21
Magnetization (μB/cell): 8.214
Calculated volume (Å³/atom): 8.89
Energy of formation (eV per formula unit): -0.80

Entry 7:
VASP calculation (PBE) on an optimized crystal structure of MnNi3B.

Unit cell a=3.786 b=3.786 c=3.786 alpha=90.00 beta=90.00 gamma=90.00
Space group Pm-3m (No. 221)
Asymmetric unit:
Mn 0.000 0.000 0.000 x1
Ni 0.000 0.500 0.500 x3
B 0.500 0.500 0.500 x1

DOS(E_F) (states/eV/atom): 3.70
Magnetization (μB/cell): 0.498
Calculated volume (Å³/atom): 10.85
E above lowest polymorph (meV per atom): 490
Energy of formation (eV per formula unit): 1.69

Entry 8:
VASP calculation (PBE) on an optimized crystal structure of MnNiB3.

Unit cell a=3.723 b=3.723 c=3.723 alpha=90.00 beta=90.00 gamma=90.00
Space group Pm-3m (No. 221)
Asymmetric unit:
Mn 0.000 0.000 0.000 x1
Ni 0.500 0.500 0.500 x1
B 0.000 0.000 0.500 x3

DOS(E_F) (states/eV/atom): 0.88
Magnetization (μB/cell): 0.777
Calculated volume (Å³/atom): 10.32
Energy of formation (eV per formula unit): 5.10

Entry 9:
VASP calculation (PBE) on an optimized crystal structure of MnNiB3.

Unit cell a=3.650 b=3.650 c=3.650 alpha=90.00 beta=90.00 gamma=90.00
Space group Pm-3m (No. 221)
Asymmetric unit:
Mn 0.000 0.000 0.000 x1
Ni 0.500 0.500 0.500 x1
B 0.000 0.500 0.500 x3

DOS(E_F) (states/eV/atom): 0.98
Magnetization (μB/cell): 0.000
Calculated volume (Å³/atom): 9.73
Energy of formation (eV per formula unit): 6.17

Entry 10:
VASP calculation (PBE) on an optimized crystal structure of MnNi4B.

Unit cell a=6.650 b=6.650 c=6.980 alpha=90.00 beta=90.00 gamma=90.00
Space group I4_1md (No. 109)
Asymmetric unit:
Mn 0.000 0.000 0.000 x4
Ni 0.000 0.296 0.524 x8
Ni 0.000 0.322 0.934 x8
B 0.000 0.000 0.467 x4

DOS(E_F) (states/eV/atom): 0.64
Magnetization (μB/cell): 17.245
Calculated volume (Å³/atom): 12.86
Energy of formation (eV per formula unit): 2.75

Entry 11:
VASP calculation (PBE) on an optimized crystal structure of MnNi5B.

Unit cell a=3.468 b=3.468 c=6.123 alpha=90.00 beta=90.00 gamma=90.00
Space group P4/mmm (No. 123)
Asymmetric unit:
Mn 0.000 0.000 0.000 x1
Ni 0.000 0.500 0.303 x4
Ni 0.500 0.500 0.000 x1
B 0.500 0.500 0.500 x1

DOS(E_F) (states/eV/atom): 1.17
Magnetization (μB/cell): 3.740
Calculated volume (Å³/atom): 10.52
E above lowest polymorph (meV per atom): 0
Energy of formation (eV per formula unit): -0.95

Entry 12:
VASP calculation (PBE) on an optimized crystal structure of Mn2NiB.

Unit cell a=6.304 b=6.304 c=4.145 alpha=90.00 beta=90.00 gamma=90.00
Space group I-42d (No. 122)
Asymmetric unit:
Mn 0.176 0.250 0.125 x8
Ni 0.000 0.000 0.500 x4
B 0.000 0.000 0.000 x4

DOS(E_F) (states/eV/atom): 0.71
Magnetization (μB/cell): 4.237
Calculated volume (Å³/atom): 10.29
Energy of formation (eV per formula unit): 1.03

> The lowest DOS(E_F) belongs to which entry?

number 3

Repeat the eleventh record exactly.
VASP calculation (PBE) on an optimized crystal structure of MnNi5B.

Unit cell a=3.468 b=3.468 c=6.123 alpha=90.00 beta=90.00 gamma=90.00
Space group P4/mmm (No. 123)
Asymmetric unit:
Mn 0.000 0.000 0.000 x1
Ni 0.000 0.500 0.303 x4
Ni 0.500 0.500 0.000 x1
B 0.500 0.500 0.500 x1

DOS(E_F) (states/eV/atom): 1.17
Magnetization (μB/cell): 3.740
Calculated volume (Å³/atom): 10.52
E above lowest polymorph (meV per atom): 0
Energy of formation (eV per formula unit): -0.95

> Number 12 is which compound?

Mn2NiB

> What is the energy of formation in the tenth record?

2.75 eV per formula unit